VASP calculation (PBE) on an optimized crystal structure of HgIN2O.

It has space group P4/mmm (No. 123), with a = 4.404 Å, b = 4.404 Å, c = 4.434 Å, α = 90.00°, β = 90.00° and γ = 90.00°. The inequivalent atoms are Hg at (0.000, 0.000, 0.000), I at (0.500, 0.500, 0.000), N at (0.000, 0.500, 0.500) and O at (0.500, 0.500, 0.500).

For the spin magnetization, the calculation gives 3.81 Bohr magnetons per cell. The value obtained for the raw total energy is -2.515 eV per atom.